(1)
Lu2CrC (GGA-PBE, relaxed); symmetry = R-3m; calculated formation energy = 0.275 eV/atom; M_tot = 3.672 μB per formula unit
1.0
3.4044 0.0000 0.0000
1.7022 2.9483 0.0000
1.7022 0.9828 8.5498
Cr C Lu
1 1 2
Direct
0.0000 0.0000 0.0000
0.5000 0.5000 0.5000
0.1153 0.1153 0.6540
0.8847 0.8847 0.3460


(2)
MgCr2C (GGA-PBE, relaxed); symmetry = Fm-3m; calculated formation energy = 1.329 eV/atom; M_tot = 5.236 μB per formula unit
1.0
0.0000 2.8650 2.8650
2.8650 0.0000 2.8650
2.8650 2.8650 0.0000
Mg Cr C
1 2 1
Direct
0.5000 0.5000 0.5000
0.7500 0.7500 0.7500
0.2500 0.2500 0.2500
0.0000 0.0000 0.0000


(3)
MgCr2C (GGA-PBE, relaxed); symmetry = R-3m; calculated formation energy = 0.295 eV/atom; M_tot = 1.343 μB per formula unit
1.0
-1.0228 1.6537 2.1516
-2.5675 1.3190 -0.2799
-4.5419 -4.8973 3.5594
C Cr Mg
1 2 1
Direct
0.5000 0.5000 0.5000
0.8792 0.8792 0.3623
0.1208 0.1208 0.6377
0.0000 0.0000 0.0000


(4)
Mg6CrC (GGA-PBE, relaxed); energy above the most stable polymorph in this dataset = 0.0 meV per atom; symmetry = Amm2; calculated formation energy = 0.230 eV/atom; M_tot = 1.421 μB per formula unit
1.0
4.8693 -5.1586 0.0000
4.8693 5.1586 0.0000
0.0000 0.0000 3.0975
Mg C Cr
6 1 1
Direct
0.8895 0.6440 0.5000
0.6548 0.3452 0.0000
0.3560 0.1105 0.5000
0.9162 0.0838 0.5000
0.2217 0.4629 0.0000
0.5371 0.7783 0.0000
0.2650 0.7350 0.5000
0.1598 0.8402 0.0000


(5)
MgCrC2 (GGA-PBE, relaxed); symmetry = I-42d; calculated formation energy = 0.578 eV/atom; M_tot = 0.000 μB per formula unit
1.0
4.7891 0.0000 0.0000
0.0000 4.7891 0.0000
2.3946 2.3946 4.4255
Cr Mg C
2 2 4
Direct
0.0000 0.0000 0.0000
0.7500 0.2500 0.5000
0.2500 0.7500 0.5000
0.5000 0.5000 0.0000
0.8750 0.9466 0.7500
0.6966 0.1250 0.2500
0.3750 0.3034 0.7500
0.0534 0.6250 0.2500


(6)
Mg14CrC (GGA-PBE, relaxed); energy above the most stable polymorph in this dataset = 0.0 meV per atom; symmetry = Amm2; calculated formation energy = 0.232 eV/atom; M_tot = 3.643 μB per formula unit
1.0
-4.9869 4.2235 0.3503
-1.3705 -4.5722 4.4773
4.1565 4.4272 5.7933
Mg Cr C
14 1 1
Direct
0.5879 0.7844 0.3164
0.0705 0.9295 0.7899
0.8455 0.1545 0.0000
0.5879 0.7844 0.6836
0.3448 0.0258 0.5000
0.6866 0.3134 0.7028
0.3906 0.2241 0.0000
0.6866 0.3134 0.2972
0.9742 0.6552 0.5000
0.3152 0.6848 0.0000
0.2156 0.4121 0.3164
0.0705 0.9295 0.2101
0.7759 0.6094 0.0000
0.2156 0.4121 0.6836
0.9076 0.0924 0.5000
0.3248 0.6752 0.5000


(7)
Mg6CrC (GGA-PBE, relaxed); energy above the most stable polymorph in this dataset = 389.2 meV per atom; symmetry = Amm2; calculated formation energy = 0.619 eV/atom; M_tot = 3.978 μB per formula unit
1.0
4.5316 1.4085 4.2010
-4.6522 -4.0477 1.4629
2.5314 -3.4752 -1.5654
C Mg Cr
1 6 1
Direct
0.7615 0.2385 0.0000
0.1706 0.8294 0.5000
0.7010 0.2990 0.5000
0.3641 0.1678 0.0000
0.6660 0.8242 0.5000
0.8322 0.6359 0.0000
0.1758 0.3340 0.5000
0.3287 0.6713 0.0000


(8)
Mg14CrC (GGA-PBE, relaxed); energy above the most stable polymorph in this dataset = 95.9 meV per atom; symmetry = P-6m2; calculated formation energy = 0.328 eV/atom; M_tot = 4.020 μB per formula unit
1.0
2.6637 5.5502 1.1685
-4.1271 -0.5712 -4.6805
-7.2399 2.1868 6.1170
Mg C Cr
14 1 1
Direct
0.5034 0.4966 0.5000
0.6854 0.8427 0.2639
0.1573 0.8427 0.2639
0.6854 0.8427 0.7361
0.4969 0.9937 0.0000
0.6667 0.3333 0.2470
0.1573 0.3146 0.2639
0.0063 0.5031 0.0000
0.9931 0.4966 0.5000
0.5034 0.0069 0.5000
0.6667 0.3333 0.7530
0.4969 0.5031 0.0000
0.1573 0.3146 0.7361
0.1573 0.8427 0.7361
0.0000 0.0000 0.5000
0.0000 0.0000 0.0000


(9)
MgCr2C (GGA-PBE, relaxed); symmetry = I-42d; calculated formation energy = 0.539 eV/atom; M_tot = 0.000 μB per formula unit
1.0
-3.1770 -2.6607 -5.1411
5.7106 -0.4798 -3.2806
1.5797 -3.5578 -3.3756
Mg Cr C
2 4 2
Direct
0.7500 0.2500 0.5000
0.0000 0.0000 0.0000
0.3750 0.7777 0.7500
0.5277 0.6250 0.2500
0.2223 0.1250 0.2500
0.8750 0.4723 0.7500
0.2500 0.7500 0.5000
0.5000 0.5000 0.0000


(10)
MgNbCr2C (GGA-PBE, relaxed); symmetry = P4/mmm; calculated formation energy = 2.877 eV/atom; M_tot = 6.923 μB per formula unit
1.0
-0.5670 4.2315 -1.4470
-1.5139 -1.5541 -3.9514
-4.6104 -0.0121 1.7712
Cr Nb Mg C
2 1 1 1
Direct
0.0000 0.5000 0.0000
0.5000 0.0000 0.0000
0.0000 0.0000 0.5000
0.0000 0.0000 0.0000
0.5000 0.5000 0.5000